The following is a PBE-GGA calculation of a relaxed Sr6PtN crystal, from the Alexandria database.

Cell: 7.2973 7.2973 7.1082 Å, 98.39 98.39 120.85°
With the nearest neighbours (Å) after each atom.
Sites, in units of the cell vectors:
Sr 0.0709 0.3638 0.2349  1 N 2.67, 1 Pt 2.98
Sr 0.2407 0.2407 0.7779  1 N 2.67
Sr 0.3638 0.0709 0.2349  1 N 2.67, 1 Pt 2.98
Sr 0.6362 0.9291 0.7651  1 N 2.67, 1 Pt 2.98
Sr 0.7593 0.7593 0.2221  1 N 2.67
Sr 0.9291 0.6362 0.7651  1 N 2.67, 1 Pt 2.98
Pt 0.5000 0.5000 0.5000  6 Sr 2.98-3.09
N 0.0000 0.0000 0.0000  6 Sr 2.67

## Properties
excess energy over the best structure of this formula in the dataset = 0.0000 eV per atom

The following is a PBE-GGA calculation of a relaxed Sr8PtN2 crystal, from the Alexandria database.

Cell: 8.4741 8.4741 6.9982 Å, 90.81 90.81 69.66°
With the nearest neighbours (Å) after each atom.
Sites, in units of the cell vectors:
Sr 0.0794 0.6946 0.7461  1 N 2.41
Sr 0.1701 0.1701 0.7841  1 N 2.39
Sr 0.3054 0.9206 0.2539  1 N 2.41
Sr 0.3585 0.3585 0.2327  1 N 2.34
Sr 0.6415 0.6415 0.7673  1 N 2.34
Sr 0.6946 0.0794 0.7461  1 N 2.41
Sr 0.8299 0.8299 0.2159  1 N 2.39
Sr 0.9206 0.3054 0.2539  1 N 2.41
Pt 0.0000 0.0000 0.5000  6 Sr 3.00-3.06
N 0.1990 0.1990 0.1212  4 Sr 2.34-2.41
N 0.8010 0.8010 0.8788  4 Sr 2.34-2.41

The following is a PBE-GGA calculation of a relaxed Sr2PtN crystal, from the Alexandria database.

Cell: 6.3147 6.3147 6.3147 Å, 107.29 107.29 113.93°
With the nearest neighbours (Å) after each atom.
Sites, in units of the cell vectors:
Sr 0.0621 0.1250 0.4371  2 N 2.49
Sr 0.3750 0.9379 0.0629  2 N 2.49
Sr 0.6879 0.6250 0.5629  2 N 2.49
Sr 0.8750 0.3121 0.9371  2 N 2.49
Pt 0.2500 0.7500 0.5000  8 Sr 3.12-3.48, 2 N 3.44
Pt 0.5000 0.5000 0.0000  8 Sr 3.12-3.48, 2 N 3.44
N 0.0000 0.0000 0.0000  4 Sr 2.49
N 0.7500 0.2500 0.5000  4 Sr 2.49

The following is a PBE-GGA calculation of a relaxed Sr5Pt2N6 crystal, from the Alexandria database.

Cell: 6.4176 6.4176 12.7955 Å, 102.04 102.04 69.93°
With the nearest neighbours (Å) after each atom.
Sites, in units of the cell vectors:
Sr 0.1129 0.8871 0.7500  6 N 2.61-2.91
Sr 0.1831 0.6932 0.9999  6 N 2.67-2.92
Sr 0.2197 0.4519 0.2743  5 N 2.55-2.79
Sr 0.3068 0.8169 0.5001  6 N 2.67-2.92
Sr 0.4519 0.2197 0.7743  5 N 2.55-2.79
Sr 0.5481 0.7803 0.2257  5 N 2.55-2.79
Sr 0.6932 0.1831 0.4999  6 N 2.67-2.92
Sr 0.7803 0.5481 0.7257  5 N 2.55-2.79
Sr 0.8169 0.3068 0.0001  6 N 2.67-2.92
Sr 0.8871 0.1129 0.2500  6 N 2.61-2.91
Pt 0.2055 0.3245 0.5474  3 N 1.92-1.95
Pt 0.3245 0.2055 0.0474  3 N 1.92-1.95
Pt 0.6755 0.7945 0.9526  3 N 1.92-1.95
Pt 0.7945 0.6755 0.4526  3 N 1.92-1.95
N 0.0854 0.1847 0.6322  1 Pt 1.95
N 0.1847 0.0854 0.1322  1 Pt 1.95
N 0.1851 0.2392 0.9012  1 Pt 1.92
N 0.2392 0.1851 0.4012  1 Pt 1.92
N 0.3949 0.5014 0.6248  1 Pt 1.93
N 0.4986 0.6051 0.8752  1 Pt 1.93
N 0.5014 0.3949 0.1248  1 Pt 1.93
N 0.6051 0.4986 0.3752  1 Pt 1.93
N 0.7608 0.8149 0.5988  1 Pt 1.92
N 0.8149 0.7608 0.0988  1 Pt 1.92
N 0.8153 0.9146 0.8678  1 Pt 1.95
N 0.9146 0.8153 0.3678  1 Pt 1.95

The following is a PBE-GGA calculation of a relaxed SrPtN crystal, from the Alexandria database.

Cell: 4.4775 4.4775 6.5749 Å, 106.99 106.99 87.22°
With the nearest neighbours (Å) after each atom.
Sites, in units of the cell vectors:
Sr 0.2423 0.2423 0.2464  4 N 2.73-3.05
Sr 0.7577 0.7577 0.7536  4 N 2.73-3.05
Pt 0.2626 0.2611 0.7544  2 N 1.95-1.98
Pt 0.7389 0.7374 0.2456  2 N 1.95-1.98
N 0.6590 0.3410 0.0000  2 Pt 1.98
N 0.8964 0.1036 0.5000  2 Pt 1.95

The following is a PBE-GGA calculation of a relaxed SrTcPtN2 crystal, from the Alexandria database.

Cell: 4.1033 4.1033 6.0452 Å, 90.00 90.00 90.00°
With the nearest neighbours (Å) after each atom.
Sites, in units of the cell vectors:
Sr 0.0000 0.0000 0.0000  4 N 2.05
Tc 0.0000 0.0000 0.5000  4 Pt 2.90, 2 Sr 3.02
Pt 0.5000 0.5000 0.5000  4 Tc 2.90
N 0.0000 0.5000 0.0000  2 Sr 2.05
N 0.5000 0.0000 0.0000  2 Sr 2.05

The following is a PBE-GGA calculation of a relaxed SrTePtN2 crystal, from the Alexandria database.

Cell: 4.2823 4.2823 5.6037 Å, 90.00 90.00 90.00°
With the nearest neighbours (Å) after each atom.
Sites, in units of the cell vectors:
Sr 0.0000 0.0000 0.0000  4 Te 3.03
Te 0.5000 0.5000 0.0000  2 Pt 2.80, 4 Sr 3.03
Pt 0.5000 0.5000 0.5000  4 N 2.14
N 0.0000 0.5000 0.5000  2 Pt 2.14
N 0.5000 0.0000 0.5000  2 Pt 2.14

## Properties
excess energy over the best structure of this formula in the dataset = 0.0000 eV per atom

The following is a PBE-GGA calculation of a relaxed SrTePtN2 crystal, from the Alexandria database.

Cell: 4.5912 4.5912 6.7560 Å, 90.00 90.00 90.00°
With the nearest neighbours (Å) after each atom.
Sites, in units of the cell vectors:
Sr 0.0000 0.0000 0.0000  4 N 2.30
Te 0.0000 0.0000 0.5000  4 Pt 3.25, 2 Sr 3.38
Pt 0.5000 0.5000 0.5000  4 Te 3.25
N 0.0000 0.5000 0.0000  2 Sr 2.30
N 0.5000 0.0000 0.0000  2 Sr 2.30

## Properties
excess energy over the best structure of this formula in the dataset = 1.0967 eV per atom

no.,magnetic moment (μB/cell),calculated total energy (eV/atom),DOS(E_F) (states/eV per cell)
1,0.000,-3.48,6.407
2,0.000,-3.68,6.308
3,0.001,-4.61,5.864
4,0.000,-5.70,5.593
5,0.000,-5.78,2.454
6,0.000,-4.07,12.556
7,2.984,-4.84,1.804
8,4.937,-3.74,6.450